This record from Alexandria via LeMat-Bulk describes a relaxed NaSrPrWO6 crystal. The functional is GGA+U.

Cell: 8.1580 8.1580 8.1580 Å, 90.00 90.00 90.00°
Closest atoms and distances in Å follow each position.
Space group F-43m (No. 216)
Inequivalent atoms, fractional coordinates:
Na  0.0000  0.0000  0.0000  6 O 2.15
Sr  0.2500  0.2500  0.7500  12 O 2.89
Pr  0.2500  0.2500  0.2500  12 O 2.89
W  0.0000  0.0000  0.5000  6 O 1.93
O  0.0000  0.0000  0.2631  1 W 1.93, 1 Na 2.15

Summary:
* size of the total moment: 0.000 Bohr magnetons per cell
* raw total energy: -6.910 eV per atom